Record 1
An optimized crystal structure of BaNaNpF6, computed with PBE.

abc: 6.5665 6.5665 9.0374
angles: 90.00 90.00 120.00
Space group P-31c (No. 163)
Asymmetric unit:
Ba  0.3333  0.6667  0.2500 (multiplicity 2)
Na  0.0000  0.0000  0.0000 (multiplicity 2)
Np  0.3333  0.6667  0.7500 (multiplicity 2)
F  0.0402  0.3571  0.6211 (multiplicity 12)

Properties
- formation energy (no corrections) (eV per atom) = -3.32
- electronic total energy (eV per formula unit) = -57.3

Record 2
An optimized crystal structure of BaNa2NpF8, computed with PBE.

abc: 4.091 8.240 5.811
angles: 90.00 90.49 90.00
Space group P2/m (No. 10)
Asymmetric unit:
Ba  0.000  0.000  0.000 (multiplicity 1)
Na  0.500  0.235  0.500 (multiplicity 2)
Np  0.000  0.500  0.000 (multiplicity 1)
F  0.003  0.290  0.238 (multiplicity 4)
F  0.496  0.000  0.732 (multiplicity 2)
F  0.497  0.500  0.788 (multiplicity 2)

Properties
- formation energy (no corrections) (eV per atom) = -3.34
- electronic total energy (eV per formula unit) = -72.6

Record 3
An optimized crystal structure of BaNaOF, computed with PBE.

abc: 3.8646 3.8646 17.6590
angles: 90.00 90.00 120.00
Space group R3m (No. 160, hexagonal axes)
Asymmetric unit:
Ba  0.0000  0.0000  0.0000 (multiplicity 3)
Na  0.0000  0.0000  0.4852 (multiplicity 3)
O  0.0000  0.0000  0.7379 (multiplicity 3)
F  0.0000  0.0000  0.2332 (multiplicity 3)

Properties
- formation energy (no corrections) (eV per atom) = -2.48
- electronic total energy (eV per formula unit) = -20.0

Record 4
An optimized crystal structure of BaNaOF2, computed with PBE.

abc: 5.080 5.080 4.560
angles: 90.00 90.00 90.00
Space group P4/mmm (No. 123)
Asymmetric unit:
Ba  0.000  0.000  0.000 (multiplicity 1)
Na  0.500  0.500  0.500 (multiplicity 1)
O  0.000  0.000  0.500 (multiplicity 1)
F  0.000  0.500  0.000 (multiplicity 2)

Properties
- formation energy (no corrections) (eV per atom) = -2.19
- offset from the most stable computed form (meV/atom) = 261
- electronic total energy (eV per formula unit) = -22.9

Record 5
An optimized crystal structure of BaNaOF2, computed with PBE.

abc: 4.272 4.272 4.412
angles: 90.00 90.00 90.00
Space group P4/mmm (No. 123)
Asymmetric unit:
Ba  0.000  0.000  0.000 (multiplicity 1)
Na  0.500  0.500  0.500 (multiplicity 1)
O  0.500  0.500  0.000 (multiplicity 1)
F  0.000  0.500  0.500 (multiplicity 2)

Properties
- formation energy (no corrections) (eV per atom) = -2.45
- offset from the most stable computed form (meV/atom) = 0
- electronic total energy (eV per formula unit) = -24.2

Record 6
An optimized crystal structure of BaNa2OsF, computed with PBE.

abc: 6.787 6.787 5.086
angles: 90.00 90.00 90.00
Space group P4/mmm (No. 123)
Asymmetric unit:
Ba  0.000  0.000  0.000 (multiplicity 1)
Na  0.000  0.500  0.000 (multiplicity 2)
Os  0.000  0.000  0.500 (multiplicity 1)
F  0.500  0.500  0.500 (multiplicity 1)

Properties
- formation energy (no corrections) (eV per atom) = 0.95
- electronic total energy (eV per formula unit) = -12.9